Record 1
# KTm2N

A relaxed structure of KTm2N (PBE, the Alexandria database).

Computed properties:
Its total energy is -5.1726 eV/atom. Its formation energy without anion corrections is -0.58 eV/atom.

abc: 3.471 3.471 30.071
angles: 90.00 90.00 120.00
Sites, in units of the cell vectors:
K: 0.000 0.000 0.000
K: 0.333 0.667 0.667
K: 0.667 0.333 0.333
Tm: 0.000 0.000 0.123
Tm: 0.000 0.000 0.877
Tm: 0.333 0.667 0.543
Tm: 0.333 0.667 0.790
Tm: 0.667 0.333 0.210
Tm: 0.667 0.333 0.457
N: 0.000 0.000 0.500
N: 0.333 0.667 0.167
N: 0.667 0.333 0.833

---

Record 2
# KTmWN3

A relaxed structure of KTmWN3 (PBE, the Alexandria database).

Computed properties:
Its total energy is -7.8923 eV/atom. Its formation energy without anion corrections is -0.64 eV/atom.

abc: 6.955 6.955 7.860
angles: 103.41 103.41 32.49
Sites, in units of the cell vectors:
K: 0.149 0.149 0.068
K: 0.851 0.851 0.932
Tm: 0.162 0.162 0.585
Tm: 0.838 0.838 0.415
W: 0.492 0.492 0.676
W: 0.508 0.508 0.324
N: 0.013 0.013 0.345
N: 0.337 0.337 0.635
N: 0.363 0.363 0.223
N: 0.637 0.637 0.777
N: 0.663 0.663 0.365
N: 0.987 0.987 0.655

---

Record 3
# K2U3N6

A relaxed structure of K2U3N6 (PBE, the Alexandria database).

Computed properties:
Its total energy is -8.8923 eV/atom. Its formation energy without anion corrections is -1.07 eV/atom.

abc: 6.096 6.096 6.820
angles: 98.52 98.52 120.02
Sites, in units of the cell vectors:
K: 0.167 0.833 0.000
K: 0.833 0.167 0.000
U: 0.000 0.000 0.500
U: 0.333 0.667 0.500
U: 0.667 0.333 0.500
N: 0.042 0.383 0.649
N: 0.277 0.277 0.354
N: 0.383 0.042 0.649
N: 0.617 0.958 0.351
N: 0.723 0.723 0.646
N: 0.958 0.617 0.351

---

Record 4
# K2UN3

A relaxed structure of K2UN3 (PBE, the Alexandria database).

Computed properties:
Its total energy is -6.9996 eV/atom. Its formation energy without anion corrections is -0.59 eV/atom.

abc: 6.303 6.303 6.708
angles: 97.77 97.77 121.01
Sites, in units of the cell vectors:
K: 0.000 0.000 0.000
K: 0.157 0.843 0.500
K: 0.500 0.500 0.500
K: 0.843 0.157 0.500
U: 0.341 0.659 0.000
U: 0.659 0.341 0.000
N: 0.119 0.495 0.182
N: 0.332 0.332 0.831
N: 0.495 0.119 0.182
N: 0.505 0.881 0.818
N: 0.668 0.668 0.169
N: 0.881 0.505 0.818

---

Record 5
# KU2N4

A relaxed structure of KU2N4 (PBE, the Alexandria database).

Computed properties:
Its total energy is -9.2216 eV/atom. Its formation energy without anion corrections is -1.08 eV/atom.

abc: 7.051 7.051 7.051
angles: 119.97 119.97 90.04
Sites, in units of the cell vectors:
K: 0.375 0.625 0.750
K: 0.625 0.375 0.250
U: 0.000 0.000 0.000
U: 0.000 0.000 0.500
U: 0.000 0.500 0.000
U: 0.500 0.000 0.500
N: 0.163 0.221 0.942
N: 0.221 0.163 0.442
N: 0.221 0.779 0.058
N: 0.221 0.779 0.442
N: 0.779 0.221 0.558
N: 0.779 0.221 0.942
N: 0.779 0.837 0.558
N: 0.837 0.779 0.058

---

Record 6
# KUVN4

A relaxed structure of KUVN4 (PBE, the Alexandria database).

Computed properties:
Its total energy is -8.6414 eV/atom. Its formation energy without anion corrections is -0.81 eV/atom.

abc: 5.809 5.657 7.752
angles: 90.00 110.82 90.00
Sites, in units of the cell vectors:
K: 0.164 0.250 0.429
K: 0.836 0.750 0.571
U: 0.278 0.250 0.954
U: 0.722 0.750 0.046
V: 0.269 0.750 0.165
V: 0.731 0.250 0.835
N: 0.034 0.750 0.947
N: 0.040 0.750 0.279
N: 0.480 0.511 0.167
N: 0.480 0.989 0.167
N: 0.520 0.011 0.833
N: 0.520 0.489 0.833
N: 0.960 0.250 0.721
N: 0.966 0.250 0.053

---

Record 7
# K2ZrUN4

A relaxed structure of K2ZrUN4 (PBE, the Alexandria database).

Computed properties:
Its total energy is -7.9415 eV/atom. Its formation energy without anion corrections is -1.02 eV/atom.

abc: 5.843 3.480 6.707
angles: 90.00 106.85 90.00
Sites, in units of the cell vectors:
K: 0.000 0.000 0.000
K: 0.500 0.500 0.000
Zr: 0.000 0.500 0.500
U: 0.500 0.000 0.500
N: 0.234 0.000 0.665
N: 0.285 0.500 0.335
N: 0.715 0.500 0.665
N: 0.766 0.000 0.335

---

Record 8
# K2VN

A relaxed structure of K2VN (PBE, the Alexandria database).

Computed properties:
Its total energy is -4.7521 eV/atom. Its formation energy without anion corrections is 0.16 eV/atom.

abc: 11.893 11.893 3.813
angles: 90.00 90.00 90.00
Sites, in units of the cell vectors:
K: 0.049 0.250 0.125
K: 0.250 0.549 0.375
K: 0.250 0.951 0.875
K: 0.451 0.250 0.625
K: 0.549 0.750 0.625
K: 0.750 0.049 0.875
K: 0.750 0.451 0.375
K: 0.951 0.750 0.125
V: 0.000 0.000 0.500
V: 0.000 0.500 0.750
V: 0.500 0.000 0.250
V: 0.500 0.500 0.000
N: 0.000 0.000 0.000
N: 0.000 0.500 0.250
N: 0.500 0.000 0.750
N: 0.500 0.500 0.500

---

Record 9
# KVN3

A relaxed structure of KVN3 (PBE, the Alexandria database).

Computed properties:
Its total energy is -3.8307 eV/atom. Its formation energy without anion corrections is 3.21 eV/atom.

abc: 4.186 4.186 4.186
angles: 90.00 90.00 90.00
Sites, in units of the cell vectors:
K: 0.000 0.000 0.000
V: 0.500 0.500 0.500
N: 0.000 0.000 0.500
N: 0.000 0.500 0.000
N: 0.500 0.000 0.000

---

Record 10
# KVN2

A relaxed structure of KVN2 (PBE, the Alexandria database).

Computed properties:
For the polymorph energy (0 for the lowest one), the calculation gives 0 meV/atom. Its total energy is -7.4735 eV/atom. Its formation energy without anion corrections is -0.76 eV/atom.

abc: 5.662 5.662 8.226
angles: 90.00 90.00 90.00
Sites, in units of the cell vectors:
K: 0.000 0.000 0.000
K: 0.000 0.500 0.250
K: 0.500 0.000 0.750
K: 0.500 0.500 0.500
V: 0.000 0.000 0.500
V: 0.000 0.500 0.750
V: 0.500 0.000 0.250
V: 0.500 0.500 0.000
N: 0.082 0.250 0.625
N: 0.250 0.582 0.875
N: 0.250 0.918 0.375
N: 0.418 0.250 0.125
N: 0.582 0.750 0.125
N: 0.750 0.082 0.375
N: 0.750 0.418 0.875
N: 0.918 0.750 0.625

---

Record 11
# KVN2

A relaxed structure of KVN2 (PBE, the Alexandria database).

Computed properties:
For the polymorph energy (0 for the lowest one), the calculation gives 2059 meV/atom. Its total energy is -5.4150 eV/atom. Its formation energy without anion corrections is 1.30 eV/atom.

abc: 5.727 5.727 5.727
angles: 90.00 90.00 90.00
Sites, in units of the cell vectors:
K: 0.000 0.000 0.000
K: 0.000 0.500 0.500
K: 0.500 0.000 0.500
K: 0.500 0.500 0.000
V: 0.000 0.000 0.500
V: 0.000 0.500 0.000
V: 0.500 0.000 0.000
V: 0.500 0.500 0.500
N: 0.250 0.250 0.250
N: 0.250 0.250 0.750
N: 0.250 0.750 0.250
N: 0.250 0.750 0.750
N: 0.750 0.250 0.250
N: 0.750 0.250 0.750
N: 0.750 0.750 0.250
N: 0.750 0.750 0.750

---

Record 12
# KVN3

A relaxed structure of KVN3 (PBE, the Alexandria database).

Computed properties:
Its total energy is -6.6872 eV/atom. Its formation energy without anion corrections is 0.35 eV/atom.

abc: 3.974 3.974 3.974
angles: 90.00 90.00 90.00
Sites, in units of the cell vectors:
K: 0.000 0.000 0.000
V: 0.500 0.500 0.500
N: 0.000 0.500 0.500
N: 0.500 0.000 0.500
N: 0.500 0.500 0.000

---

Record 13
# KVN2

A relaxed structure of KVN2 (PBE, the Alexandria database).

Computed properties:
For the polymorph energy (0 for the lowest one), the calculation gives 683 meV/atom. Its total energy is -6.7902 eV/atom. Its formation energy without anion corrections is -0.07 eV/atom.

abc: 2.997 2.997 20.867
angles: 90.00 90.00 120.00
Sites, in units of the cell vectors:
K: 0.000 0.000 0.000
K: 0.333 0.667 0.667
K: 0.667 0.333 0.333
V: 0.000 0.000 0.500
V: 0.333 0.667 0.167
V: 0.667 0.333 0.833
N: 0.000 0.000 0.118
N: 0.000 0.000 0.882
N: 0.333 0.667 0.549
N: 0.333 0.667 0.784
N: 0.667 0.333 0.216
N: 0.667 0.333 0.451

---

Record 14
# KVN2

A relaxed structure of KVN2 (PBE, the Alexandria database).

Computed properties:
For the polymorph energy (0 for the lowest one), the calculation gives 380 meV/atom. Its total energy is -7.0931 eV/atom. Its formation energy without anion corrections is -0.38 eV/atom.

abc: 2.979 2.979 18.880
angles: 90.00 90.00 120.00
Sites, in units of the cell vectors:
K: 0.000 0.000 0.000
K: 0.333 0.667 0.667
K: 0.667 0.333 0.333
V: 0.000 0.000 0.500
V: 0.333 0.667 0.167
V: 0.667 0.333 0.833
N: 0.000 0.000 0.222
N: 0.000 0.000 0.778
N: 0.333 0.667 0.444
N: 0.333 0.667 0.889
N: 0.667 0.333 0.111
N: 0.667 0.333 0.556

---

Record 15
# KW3N

A relaxed structure of KW3N (PBE, the Alexandria database).

Computed properties:
For the polymorph energy (0 for the lowest one), the calculation gives 0 meV/atom. Its total energy is -8.4176 eV/atom. Its formation energy without anion corrections is 1.24 eV/atom.

abc: 4.295 4.295 4.295
angles: 90.00 90.00 90.00
Sites, in units of the cell vectors:
K: 0.000 0.000 0.000
W: 0.000 0.500 0.500
W: 0.500 0.000 0.500
W: 0.500 0.500 0.000
N: 0.500 0.500 0.500

---

Record 16
# KW3N

A relaxed structure of KW3N (PBE, the Alexandria database).

Computed properties:
For the polymorph energy (0 for the lowest one), the calculation gives 3584 meV/atom. Its total energy is -4.8333 eV/atom. Its formation energy without anion corrections is 4.82 eV/atom.

abc: 4.487 4.487 4.487
angles: 90.00 90.00 90.00
Sites, in units of the cell vectors:
K: 0.000 0.000 0.000
W: 0.000 0.000 0.500
W: 0.000 0.500 0.000
W: 0.500 0.000 0.000
N: 0.500 0.500 0.500

---

Record 17
# KZn2WN

A relaxed structure of KZn2WN (PBE, the Alexandria database).

Computed properties:
Its total energy is -2.4262 eV/atom. Its formation energy without anion corrections is 2.56 eV/atom.

abc: 5.107 5.107 4.025
angles: 90.00 90.00 90.00
Sites, in units of the cell vectors:
K: 0.000 0.000 0.000
Zn: 0.000 0.500 0.000
Zn: 0.500 0.000 0.000
W: 0.500 0.500 0.500
N: 0.000 0.000 0.500

---

Record 18
# KY3N

A relaxed structure of KY3N (PBE, the Alexandria database).

Computed properties:
For the polymorph energy (0 for the lowest one), the calculation gives 2428 meV/atom. Its total energy is -3.4310 eV/atom. Its formation energy without anion corrections is 2.33 eV/atom.

abc: 5.258 5.258 5.258
angles: 90.00 90.00 90.00
Sites, in units of the cell vectors:
K: 0.000 0.000 0.000
Y: 0.000 0.000 0.500
Y: 0.000 0.500 0.000
Y: 0.500 0.000 0.000
N: 0.500 0.500 0.500

---

Record 19
# KYN

A relaxed structure of KYN (PBE, the Alexandria database).

Computed properties:
Its total energy is -5.9518 eV/atom. Its formation energy without anion corrections is -0.66 eV/atom.

abc: 6.389 3.687 14.105
angles: 90.00 98.82 90.00
Sites, in units of the cell vectors:
K: 0.000 0.000 0.000
K: 0.152 0.000 0.501
K: 0.500 0.500 0.000
K: 0.652 0.500 0.501
Y: 0.057 0.500 0.714
Y: 0.239 0.500 0.213
Y: 0.557 0.000 0.714
Y: 0.739 0.000 0.213
N: 0.372 0.500 0.660
N: 0.388 0.000 0.159
N: 0.872 0.000 0.660
N: 0.888 0.500 0.159

---

Record 20
# K3YN6

A relaxed structure of K3YN6 (PBE, the Alexandria database).

Computed properties:
Its total energy is -4.5108 eV/atom. Its formation energy without anion corrections is 1.46 eV/atom.

abc: 7.893 7.893 7.893
angles: 89.59 89.59 89.59
Sites, in units of the cell vectors:
K: 0.000 0.338 0.662
K: 0.159 0.841 0.500
K: 0.338 0.662 0.000
K: 0.500 0.159 0.841
K: 0.662 0.000 0.338
K: 0.841 0.500 0.159
Y: 0.251 0.251 0.251
Y: 0.749 0.749 0.749
N: 0.020 0.676 0.824
N: 0.176 0.324 0.980
N: 0.178 0.524 0.323
N: 0.323 0.178 0.524
N: 0.324 0.980 0.176
N: 0.476 0.822 0.677
N: 0.524 0.323 0.178
N: 0.676 0.824 0.020
N: 0.677 0.476 0.822
N: 0.822 0.677 0.476
N: 0.824 0.020 0.676
N: 0.980 0.176 0.324